{
  "formula": "LiScFeSe3",
  "functional": "PBE",
  "state": "optimized geometry",
  "lattice_angstrom": [[7.657, 0.000, 0.000], [0.000, 3.792, 0.000], [-2.253, 0.000, 9.021]],
  "species": ["Li", "Se", "Se", "Sc", "Sc", "Fe", "Se", "Fe", "Li", "Se", "Se", "Se"],
  "frac_coords": [[0.678, 0.250, 0.657], [0.421, 0.750, 0.650], [0.918, 0.750, 0.651], [0.834, 0.750, 0.348], [0.166, 0.250, 0.652], [0.569, 0.250, 0.088], [0.082, 0.250, 0.349], [0.431, 0.750, 0.912], [0.322, 0.750, 0.343], [0.579, 0.250, 0.350], [0.751, 0.750, 0.039], [0.249, 0.250, 0.961]],
  "magnetic_moment_mub_per_atom": 0.591,
  "density_g_cm3": 4.369,
  "de_polymorph_mev_per_atom": 0
}


{
  "formula": "PPd7",
  "functional": "PBE",
  "state": "optimized geometry",
  "lattice_angstrom": [[9.168, 0.000, 0.000], [0.000, 4.915, 2.721], [0.000, -4.915, 2.721]],
  "species": ["Pd", "Pd", "Pd", "Pd", "Pd", "Pd", "P", "Pd", "Pd", "Pd", "Pd", "Pd", "Pd", "Pd", "Pd", "P"],
  "frac_coords": [[0.716, 0.604, 0.341], [0.044, 0.351, 0.882], [0.307, 0.342, 0.123], [0.000, 0.384, 0.384], [0.807, 0.623, 0.842], [0.500, 0.884, 0.884], [0.000, 0.957, 0.957], [0.284, 0.341, 0.604], [0.784, 0.104, 0.841], [0.216, 0.841, 0.104], [0.956, 0.882, 0.351], [0.456, 0.851, 0.382], [0.693, 0.123, 0.342], [0.193, 0.842, 0.623], [0.544, 0.382, 0.851], [0.500, 0.457, 0.457]],
  "density_g_cm3": 10.507,
  "final_energy_ev_per_cell": -86.7
}


{
  "formula": "Cd5N",
  "functional": "PBE",
  "state": "optimized geometry",
  "lattice_angstrom": [[5.505, 0.000, 0.000], [-2.753, 4.768, 0.000], [0.000, 0.000, 5.133]],
  "species": ["Cd", "N", "Cd", "Cd", "Cd", "Cd"],
  "frac_coords": [[0.333, 0.667, 0.000], [0.000, 0.000, 0.000], [0.667, 0.333, 0.000], [0.500, 0.000, 0.500], [0.500, 0.500, 0.500], [0.000, 0.500, 0.500]],
  "density_g_cm3": 7.099,
  "final_energy_ev_per_cell": -7.0
}